## Si4MoO10 (PBE with a Hubbard U)

Data for Si4MoO10 after structural relaxation.

Lattice parameters (Å, degrees): 7.727 7.727 16.071 90.00 90.00 90.00
Atoms (fractional coordinates):
1 O 0.005 0.257 0.136
2 O 0.745 0.255 0.750
3 O 0.995 0.257 0.636
4 O 0.743 0.995 0.364
5 O 0.316 0.829 0.093
6 Si 0.292 0.800 0.346
7 Si 0.792 0.700 0.154
8 Si 0.208 0.700 0.654
9 Mo 0.500 0.000 0.083
10 Si 0.300 0.208 0.346
11 O 0.255 0.255 0.250
12 O 0.245 0.245 0.750
13 O 0.329 0.816 0.593
14 Si 0.800 0.708 0.654
15 O 0.757 0.505 0.636
16 O 0.005 0.743 0.636
17 Si 0.208 0.300 0.154
18 O 0.995 0.743 0.136
19 O 0.671 0.184 0.593
20 O 0.505 0.243 0.364
21 O 0.184 0.671 0.907
22 Si 0.708 0.800 0.846
23 O 0.671 0.816 0.093
24 Si 0.200 0.708 0.154
25 O 0.245 0.755 0.250
26 Mo 0.000 0.500 0.417
27 O 0.755 0.245 0.250
28 O 0.684 0.171 0.093
29 O 0.171 0.316 0.907
30 O 0.243 0.495 0.636
31 Mo 0.500 0.000 0.583
32 O 0.255 0.745 0.750
33 O 0.684 0.829 0.593
34 Si 0.700 0.792 0.346
35 Si 0.700 0.208 0.846
36 O 0.171 0.684 0.407
37 O 0.495 0.243 0.864
38 O 0.316 0.171 0.593
39 Si 0.792 0.300 0.654
40 O 0.495 0.757 0.364
41 O 0.745 0.745 0.250
42 O 0.757 0.495 0.136
43 O 0.257 0.005 0.364
44 O 0.243 0.505 0.136
45 O 0.329 0.184 0.093
46 O 0.829 0.684 0.907
47 O 0.816 0.329 0.907
48 O 0.743 0.005 0.864
49 O 0.505 0.757 0.864
50 O 0.257 0.995 0.864
51 O 0.184 0.329 0.407
52 Si 0.300 0.792 0.846
53 Si 0.800 0.292 0.154
54 Si 0.200 0.292 0.654
55 O 0.755 0.755 0.750
56 O 0.816 0.671 0.407
57 Mo 0.000 0.500 0.917
58 Si 0.708 0.200 0.346
59 Si 0.292 0.200 0.846
60 O 0.829 0.316 0.407

Summary:
VASP energy (eV per atom): -7.620